Here is a relaxed NaZnPdAu crystal from the Alexandria database. Energies are from PBE-GGA. Values from VASP.

Values from the calculation:
Total magnetization (μB/f.u.): 0.000
Final energy (eV/atom): -2.967
N(E_F) (states/eV per cell): 2.19
Formation energy (eV/f.u.): -0.80
SG: F-43m (216)

Structure (Quantum ESPRESSO input):
```
&SYSTEM
  ibrav = 0, nat = 4, ntyp = 4
/
ATOMIC_SPECIES
Na 22.99 Na.upf
Zn 65.41 Zn.upf
Pd 106.42 Pd.upf
Au 196.97 Au.upf
ATOMIC_POSITIONS angstrom
Na 0.000 0.000 0.000
Zn 3.225 3.225 3.225
Pd 1.612 1.612 1.612
Au 4.837 4.837 4.837
CELL_PARAMETERS angstrom
0.000 3.225 3.225
3.225 0.000 3.225
3.225 3.225 0.000
```